[1]
A plane-wave DFT calculation with PBE-GGA was carried out for an optimized crystal structure of Er2HgH3.

The structure in extended XYZ format:
```
12
Lattice="6.0881 -1.8148 0.0000 6.0881 1.8148 0.0000 -2.9227 0.0000 7.7925" Properties=species:S:1:pos:R:3 pbc="T T T"
Er -0.3837 0.0000 1.6969
Er 2.9384 0.0000 3.0140
Er 6.3152 0.0000 4.7786
Er 9.6372 0.0000 6.0956
Hg 1.2668 0.0000 7.3507
Hg 7.9868 0.0000 0.4419
H -0.7126 0.0000 5.1581
H 0.7957 0.0000 3.5299
H 4.0138 0.0000 4.9588
H 5.2397 0.0000 2.8337
H 8.4579 0.0000 4.2626
H 9.9662 0.0000 2.6344
```

symmetry = C2/m (12)
density of states at the Fermi level = 1.890 states/eV/f.u.
uncorrected energy = -3.8312 eV per atom

[2]
A plane-wave DFT calculation with PBE-GGA was carried out for an optimized crystal structure of CaTb12Y7.

The structure in extended XYZ format:
```
20
Lattice="-5.6873 5.6873 5.6873 5.6873 -5.6873 5.6873 5.6873 5.6873 -5.6873" Properties=species:S:1:pos:R:3 pbc="T T T"
Ca 0.0000 0.0000 0.0000
Tb 5.6873 2.7387 -2.7387
Tb 5.6873 -2.7387 2.7387
Tb 2.7387 5.6873 -2.7387
Tb 2.9487 2.9487 0.0000
Tb 2.9487 0.0000 2.9487
Tb 2.7387 -2.7387 5.6873
Tb 5.6873 2.7387 2.7387
Tb 0.0000 2.9487 2.9487
Tb -2.7387 5.6873 2.7387
Tb -2.7387 2.7387 5.6873
Tb 2.7387 5.6873 2.7387
Tb 2.7387 2.7387 5.6873
Y 2.8437 2.8437 -2.8437
Y 2.8437 -2.8437 2.8437
Y 5.6873 0.0000 0.0000
Y -2.8437 2.8437 2.8437
Y 0.0000 5.6873 0.0000
Y 0.0000 0.0000 5.6873
Y 2.8437 2.8437 2.8437
```

symmetry = Im-3m (229)
density of states at the Fermi level = 25.432 states/eV/f.u.
DFT formation energy = 0.69 eV per atom

[3]
A plane-wave DFT calculation with PBE-GGA was carried out for an optimized crystal structure of Ba2SmEu.

The structure in extended XYZ format:
```
4
Lattice="4.0427 0.0000 0.0000 0.0000 4.0427 0.0000 0.0000 0.0000 11.8898" Properties=species:S:1:pos:R:3 pbc="T T T"
Ba 0.0000 0.0000 2.7966
Ba 0.0000 0.0000 9.0932
Sm 2.0214 2.0214 0.0000
Eu 2.0214 2.0214 5.9449
```

symmetry = P4/mmm (123)
density of states at the Fermi level = 5.282 states/eV/f.u.
DFT formation energy = 0.17 eV per atom
ΔE to the lowest computed polymorph = 0.0 meV per atom

[4]
A plane-wave DFT calculation with PBE-GGA was carried out for an optimized crystal structure of Pr2TlCo.

The structure in extended XYZ format:
```
4
Lattice="1.9629 1.1333 9.8769 -1.9629 1.1333 9.8769 0.0000 -2.2666 9.8769" Properties=species:S:1:pos:R:3 pbc="T T T"
Pr 0.0000 0.0000 3.3976
Pr 0.0000 0.0000 26.2332
Tl 0.0000 0.0000 0.0000
Co 0.0000 0.0000 14.8154
```

symmetry = R-3m (166)
density of states at the Fermi level = 1.555 states/eV/f.u.
DFT formation energy = 0.05 eV per atom

Q: density of states at the Fermi level of number 4 (Pr2TlCo)?
A: 1.555 states/eV/f.u.

Q: The lowest density of states at the Fermi level belongs to which entry?
A: Pr2TlCo

Q: Which of these has the lowest density of states at the Fermi level?
A: Pr2TlCo

Q: Among the records above, which one has the lowest density of states at the Fermi level?
A: Pr2TlCo